(one)
Material: TlTeMo2
Method: DFT, PBE
State: relaxed

Output
The value obtained for the density of states at the Fermi level is 5.03 states/eV/f.u.

a = 4.3073 Å, b = 4.3073 Å, c = 8.4602 Å
α = 90.00°, β = 90.00°, γ = 90.00°
Space group I-4m2 (No. 119)
Asymmetric unit:
Tl1 0.0000 0.0000 0.0000
Te1 0.0000 0.5000 0.2500
Mo1 0.0000 0.0000 0.5000
Mo2 0.0000 0.5000 0.7500


(two)
Material: TlTeMo2
Method: DFT, PBE
State: relaxed

Output
The value obtained for the density of states at the Fermi level is 3.93 states/eV/f.u.

a = 8.7569 Å, b = 3.2295 Å, c = 5.7917 Å
α = 90.00°, β = 102.17°, γ = 90.00°
Space group C2/m (No. 12)
Asymmetric unit:
Tl1 0.0000 0.0000 0.0000
Te1 0.0000 0.5000 0.5000
Mo1 0.2465 0.0000 0.7089


The winner here is (two), beating the second structure by 190 meV/atom.


(one)
Material: TlTeMo2
Method: DFT, PBE
State: relaxed

Output
The value obtained for the density of states at the Fermi level is 5.36 states/eV/f.u.

a = 3.2752 Å, b = 5.4264 Å, c = 9.0776 Å
α = 90.00°, β = 90.00°, γ = 90.00°
Space group Immm (No. 71)
Asymmetric unit:
Tl1 0.0000 0.0000 0.0000
Te1 0.0000 0.0000 0.5000
Mo1 0.0000 0.5000 0.2333


(two)
Material: TlTeMo2
Method: DFT, PBE
State: relaxed

Output
The value obtained for the density of states at the Fermi level is 2.55 states/eV/f.u.

a = 6.8173 Å, b = 6.8173 Å, c = 6.8173 Å
α = 90.00°, β = 90.00°, γ = 90.00°
Space group F-43m (No. 216)
Asymmetric unit:
Tl1 0.0000 0.0000 0.0000
Te1 0.2500 0.2500 0.2500
Mo1 0.0000 0.0000 0.5000
Mo2 0.2500 0.2500 0.7500


The winner here is (two), beating the second structure by 25 meV/atom.


(one)
Material: Tl2Te2Mo
Method: DFT, PBE
State: relaxed

Output
The value obtained for the density of states at the Fermi level is 5.93 states/eV/f.u.

a = 7.8555 Å, b = 7.8555 Å, c = 4.6092 Å
α = 90.00°, β = 90.00°, γ = 90.00°
Space group P4/mbm (No. 127)
Asymmetric unit:
Tl1 0.1377 0.3623 0.0000
Te1 0.1811 0.6811 0.5000
Mo1 0.0000 0.0000 0.0000


(two)
Material: Tl2Te2Mo
Method: DFT, PBE
State: relaxed

Output
The value obtained for the density of states at the Fermi level is 2.93 states/eV/f.u.

a = 4.2907 Å, b = 4.2907 Å, c = 17.7378 Å
α = 90.00°, β = 90.00°, γ = 90.00°
Space group I4/mmm (No. 139)
Asymmetric unit:
Tl1 0.0000 0.0000 0.0890
Te1 0.0000 0.5000 0.2500
Mo1 0.0000 0.0000 0.5000


The winner here is (one), beating the second structure by 104 meV/atom.


(one)
Material: Te2MoW
Method: DFT, PBE
State: relaxed

Output
The value obtained for the density of states at the Fermi level is 4.11 states/eV/f.u.

a = 6.2550 Å, b = 8.8395 Å, c = 3.3182 Å
α = 90.00°, β = 118.22°, γ = 90.00°
Space group C2/m (No. 12)
Asymmetric unit:
Te1 0.2500 0.2500 0.0000
Mo1 0.0000 0.0000 0.5000
W1 0.0000 0.5000 0.5000


(two)
Material: Te2MoW
Method: DFT, PBE
State: relaxed

Output
The value obtained for the density of states at the Fermi level is 5.50 states/eV/f.u.

a = 6.8546 Å, b = 6.8546 Å, c = 6.8546 Å
α = 90.00°, β = 90.00°, γ = 90.00°
Space group F-43m (No. 216)
Asymmetric unit:
Te1 0.0000 0.0000 0.0000
Te2 0.2500 0.2500 0.2500
Mo1 0.2500 0.2500 0.7500
W1 0.0000 0.0000 0.5000


(three)
Material: Te2MoW
Method: DFT, PBE
State: relaxed

Output
The value obtained for the density of states at the Fermi level is 3.11 states/eV/f.u.

a = 3.2494 Å, b = 3.2494 Å, c = 8.2571 Å
α = 90.00°, β = 90.00°, γ = 90.00°
Space group P4mm (No. 99)
Asymmetric unit:
Te1 0.0000 0.0000 0.0000
Te2 0.5000 0.5000 0.4030
Mo1 0.5000 0.5000 0.8075
W1 0.0000 0.0000 0.5998


The winner here is (three), beating the second structure by 826 meV/atom.


(one)
Material: Te2MoW
Method: DFT, PBE
State: relaxed

Output
The value obtained for the density of states at the Fermi level is 3.18 states/eV/f.u.

a = 4.3462 Å, b = 4.3462 Å, c = 8.2844 Å
α = 90.00°, β = 90.00°, γ = 90.00°
Space group I-4m2 (No. 119)
Asymmetric unit:
Te1 0.0000 0.0000 0.0000
Te2 0.0000 0.5000 0.2500
Mo1 0.0000 0.0000 0.5000
W1 0.0000 0.5000 0.7500


(two)
Material: Te2MoW
Method: DFT, PBE
State: relaxed

Output
The value obtained for the density of states at the Fermi level is 4.73 states/eV/f.u.

a = 3.2808 Å, b = 3.2808 Å, c = 30.6672 Å
α = 90.00°, β = 90.00°, γ = 120.00°
Space group R3m (No. 160, hexagonal axes)
Asymmetric unit:
Te1 0.0000 0.0000 0.0000
Te2 0.0000 0.0000 0.1970
Mo1 0.0000 0.0000 0.4633
W1 0.0000 0.0000 0.7332


The winner here is (two), beating the second structure by 584 meV/atom.


(one)
Material: Te2MoW
Method: DFT, PBE
State: relaxed

Output
The value obtained for the density of states at the Fermi level is 3.15 states/eV/f.u.

a = 6.6719 Å, b = 6.6719 Å, c = 6.6719 Å
α = 90.00°, β = 90.00°, γ = 90.00°
Space group Fm-3m (No. 225)
Asymmetric unit:
Te1 0.2500 0.2500 0.2500
Mo1 0.0000 0.0000 0.0000
W1 0.0000 0.0000 0.5000


(two)
Material: Te2MoW
Method: DFT, PBE
State: relaxed

Output
The value obtained for the density of states at the Fermi level is 2.48 states/eV/f.u.

a = 9.9057 Å, b = 3.3132 Å, c = 5.5885 Å
α = 90.00°, β = 117.29°, γ = 90.00°
Space group Cm (No. 8)
Asymmetric unit:
Te1 0.0000 0.0000 0.0000
Te2 0.1867 0.0000 0.6529
Mo1 0.4338 0.0000 0.5357
W1 0.2514 0.5000 0.1166


The winner here is (two), beating the second structure by 39 meV/atom.


(one)
Material: Te2MoW
Method: DFT, PBE
State: relaxed

Output
The value obtained for the density of states at the Fermi level is 4.08 states/eV/f.u.

a = 3.3366 Å, b = 3.3366 Å, c = 6.6766 Å
α = 90.00°, β = 90.00°, γ = 90.00°
Space group P4/mmm (No. 123)
Asymmetric unit:
Te1 0.0000 0.0000 0.2496
Mo1 0.5000 0.5000 0.0000
W1 0.5000 0.5000 0.5000


(two)
Material: Te2MoW
Method: DFT, PBE
State: relaxed

Output
The value obtained for the density of states at the Fermi level is 4.09 states/eV/f.u.

a = 3.3186 Å, b = 4.4237 Å, c = 5.4880 Å
α = 90.00°, β = 90.00°, γ = 90.00°
Space group Pmmm (No. 47)
Asymmetric unit:
Te1 0.0000 0.0000 0.0000
Te2 0.5000 0.0000 0.5000
Mo1 0.0000 0.5000 0.5000
W1 0.5000 0.5000 0.0000


The winner here is (one), beating the second structure by 508 meV/atom.


(one)
Material: Te2MoW
Method: DFT, PBE
State: relaxed

Output
The value obtained for the density of states at the Fermi level is 2.09 states/eV/f.u.

a = 3.5146 Å, b = 4.2576 Å, c = 7.0254 Å
α = 90.00°, β = 90.00°, γ = 90.00°
Space group Pmm2 (No. 25)
Asymmetric unit:
Te1 0.0000 0.0000 0.0000
Te2 0.5000 0.5000 0.4430
Mo1 0.5000 0.0000 0.7061
W1 0.0000 0.5000 0.7372


(two)
Material: Te2MoW
Method: DFT, PBE
State: relaxed

Output
The value obtained for the density of states at the Fermi level is 4.87 states/eV/f.u.

a = 3.3502 Å, b = 5.4730 Å, c = 8.7839 Å
α = 90.00°, β = 90.00°, γ = 90.00°
Space group Cmmm (No. 65)
Asymmetric unit:
Te1 0.0000 0.0000 0.2482
Mo1 0.0000 0.5000 0.0000
W1 0.0000 0.5000 0.5000


(three)
Material: Te2MoW
Method: DFT, PBE
State: relaxed

Output
The value obtained for the density of states at the Fermi level is 5.10 states/eV/f.u.

a = 3.2444 Å, b = 3.2444 Å, c = 25.4242 Å
α = 90.00°, β = 90.00°, γ = 120.00°
Space group R-3m (No. 166, hexagonal axes)
Asymmetric unit:
Te1 0.0000 0.0000 0.2494
Mo1 0.0000 0.0000 0.5000
W1 0.0000 0.0000 0.0000


The winner here is (one), beating the second structure by 518 meV/atom.


(one)
Material: Te2MoW
Method: DFT, PBE
State: relaxed

Output
The value obtained for the density of states at the Fermi level is 4.40 states/eV/f.u.

a = 6.2243 Å, b = 6.2243 Å, c = 11.8313 Å
α = 90.00°, β = 90.00°, γ = 90.00°
Space group I-42d (No. 122)
Asymmetric unit:
Te1 0.2473 0.2500 0.1250
Mo1 0.0000 0.0000 0.5000
W1 0.0000 0.0000 0.0000


(two)
Material: Te2MoW
Method: DFT, PBE
State: relaxed

Output
The value obtained for the density of states at the Fermi level is 4.03 states/eV/f.u.

a = 8.6638 Å, b = 3.2455 Å, c = 5.6298 Å
α = 90.00°, β = 102.49°, γ = 90.00°
Space group C2/m (No. 12)
Asymmetric unit:
Te1 0.2501 0.0000 0.2504
Mo1 0.0000 0.0000 0.5000
W1 0.0000 0.5000 0.0000


The winner here is (two), beating the second structure by 517 meV/atom.


(one)
Material: TeMo3W
Method: DFT, PBE
State: relaxed

Output
The value obtained for the density of states at the Fermi level is 7.56 states/eV/f.u.

a = 4.8248 Å, b = 4.8248 Å, c = 4.8248 Å
α = 90.00°, β = 90.00°, γ = 90.00°
Space group Pm-3m (No. 221)
Asymmetric unit:
Te1 0.0000 0.0000 0.0000
Mo1 0.0000 0.5000 0.5000
W1 0.5000 0.5000 0.5000


(two)
Material: TeMo3W
Method: DFT, PBE
State: relaxed

Output
The value obtained for the density of states at the Fermi level is 6.14 states/eV/f.u.

a = 4.7673 Å, b = 4.7673 Å, c = 4.7673 Å
α = 90.00°, β = 90.00°, γ = 90.00°
Space group Pm-3m (No. 221)
Asymmetric unit:
Te1 0.0000 0.0000 0.0000
Mo1 0.0000 0.0000 0.5000
W1 0.5000 0.5000 0.5000


The winner here is (one), beating the second structure by 578 meV/atom.


(one)
Material: TeMoW3
Method: DFT, PBE
State: relaxed

Output
The value obtained for the density of states at the Fermi level is 7.61 states/eV/f.u.

a = 4.8001 Å, b = 4.8001 Å, c = 4.8001 Å
α = 90.00°, β = 90.00°, γ = 90.00°
Space group Pm-3m (No. 221)
Asymmetric unit:
Te1 0.0000 0.0000 0.0000
Mo1 0.5000 0.5000 0.5000
W1 0.0000 0.5000 0.5000


(two)
Material: TeMoW3
Method: DFT, PBE
State: relaxed

Output
The value obtained for the density of states at the Fermi level is 10.82 states/eV/f.u.

a = 4.7932 Å, b = 4.7932 Å, c = 4.7932 Å
α = 90.00°, β = 90.00°, γ = 90.00°
Space group Pm-3m (No. 221)
Asymmetric unit:
Te1 0.0000 0.0000 0.0000
Mo1 0.5000 0.5000 0.5000
W1 0.0000 0.0000 0.5000


The winner here is (one), beating the second structure by 655 meV/atom.


(one)
Material: YTeMo
Method: DFT, PBE
State: relaxed

Output
The value obtained for the density of states at the Fermi level is 4.23 states/eV/f.u.

a = 7.0302 Å, b = 7.0302 Å, c = 7.0302 Å
α = 90.00°, β = 90.00°, γ = 90.00°
Space group F-43m (No. 216)
Asymmetric unit:
Y1 0.0000 0.0000 0.0000
Te1 0.2500 0.2500 0.2500
Mo1 0.2500 0.2500 0.7500


(two)
Material: YTeMo
Method: DFT, PBE
State: relaxed

Output
The value obtained for the density of states at the Fermi level is 3.91 states/eV/f.u.

a = 3.5103 Å, b = 3.5103 Å, c = 11.1139 Å
α = 90.00°, β = 90.00°, γ = 90.00°
Space group I4mm (No. 107)
Asymmetric unit:
Y1 0.0000 0.0000 0.0000
Te1 0.0000 0.0000 0.2906
Mo1 0.0000 0.0000 0.6788


(three)
Material: YTeMo
Method: DFT, PBE
State: relaxed

Output
The value obtained for the density of states at the Fermi level is 1.85 states/eV/f.u.

a = 3.6461 Å, b = 3.6461 Å, c = 6.3823 Å
α = 90.00°, β = 90.00°, γ = 120.00°
Space group P3m1 (No. 156)
Asymmetric unit:
Y1 0.0000 0.0000 0.0000
Te1 0.6667 0.3333 0.6126
Mo1 0.3333 0.6667 0.3453


The winner here is (two), beating the second structure by 169 meV/atom.